LiTl2Hg | PBE-GGA | optimized geometry

For the density, the calculation gives 10096 kg/m³. The energy above the most stable polymorph in this dataset is 0.284 eV per formula unit. Its formation energy is -62 meV/atom. Its crystal system is trigonal. The total energy comes out at -1.799 eV/atom.

It has space group R3m (No. 160, hexagonal axes), with a = 3.5170 Å, b = 3.5170 Å, c = 28.3873 Å, α = 90.00°, β = 90.00° and γ = 120.00°. The distinct sites, in fractional coordinates, are Li at (0.0000, 0.0000, 0.0000), Tl at (0.0000, 0.0000, 0.4118), Tl at (0.0000, 0.0000, 0.5877) and Hg at (0.0000, 0.0000, 0.8326).